No. 1
Compound: CeSi2SbRh5
Source: Alexandria via LeMat-Bulk
Functional: PBE
Structure: optimized geometry

Computed properties:
The value obtained for the raw formation energy is -0.64 eV per atom. The crystal system is tetragonal. Its symmetry is P4/mmm (123).

a = 4.0873 Å, b = 4.0873 Å, c = 10.1807 Å
α = 90.00°, β = 90.00°, γ = 90.00°
Last column: nearest neighbours and their distance in Å.
Positions (direct):
Ce 0.0000 0.0000 0.5000  4 Rh 2.89
Si 0.5000 0.5000 0.2729  5 Rh 2.31-2.33
Si 0.5000 0.5000 0.7271  5 Rh 2.31-2.33
Sb 0.0000 0.0000 0.0000  8 Rh 2.63
Rh 0.0000 0.5000 0.1628  2 Si 2.33
Rh 0.5000 0.0000 0.1628  2 Si 2.33
Rh 0.0000 0.5000 0.8372  2 Si 2.33
Rh 0.5000 0.0000 0.8372  2 Si 2.33
Rh 0.5000 0.5000 0.5000  2 Si 2.31


No. 2
Compound: Pa2ZnPd
Source: Alexandria via LeMat-Bulk
Functional: PBE
Structure: optimized geometry

Computed properties:
As for the formation energy from the elements: -0.029 eV/atom. The energy above the most stable polymorph in this dataset comes out at 195 meV per atom. The crystal system is cubic. Its symmetry is Fm-3m (225).

a = 4.9561 Å, b = 4.9561 Å, c = 4.9561 Å
α = 60.00°, β = 60.00°, γ = 60.00°
Last column: nearest neighbours and their distance in Å.
Positions (direct):
Zn 0.5000 0.5000 0.5000  8 Pa 3.03
Pa 0.2500 0.2500 0.2500  4 Zn 3.03, 4 Pd 3.03
Pa 0.7500 0.7500 0.7500  4 Pd 3.03, 4 Zn 3.03
Pd 0.0000 0.0000 0.0000  8 Pa 3.03


No. 3
Compound: La2Pr5Sm4
Source: Alexandria via LeMat-Bulk
Functional: PBE
Structure: optimized geometry

Computed properties:
As for the formation energy from the elements: 0.124 eV/atom. The energy above the most stable polymorph in this dataset comes out at 0 meV per atom. The crystal system is monoclinic. Its symmetry is C2/m (12).

a = 3.5276 Å, b = 9.0627 Å, c = 12.4657 Å
α = 96.65°, β = 98.13°, γ = 90.00°
Last column: nearest neighbours and their distance in Å.
Positions (direct):
La 0.9099 0.2714 0.8199  2 Sm 3.36-3.39, 2 Pr 3.51-3.60, 2 La 3.53
La 0.0901 0.7286 0.1801  2 Sm 3.36-3.39, 2 Pr 3.51-3.60, 2 La 3.53
Pr 0.1402 0.1181 0.2805  3 Sm 3.38-3.67, 5 Pr 3.53-3.70, 1 La 3.60
Pr 0.8598 0.8819 0.7195  3 Sm 3.38-3.67, 5 Pr 3.53-3.70, 1 La 3.60
Pr 0.2320 0.8231 0.4641  1 La 3.51, 7 Pr 3.53-3.70, 3 Sm 3.66-3.75
Pr 0.5000 0.0000 0.0000  6 Pr 3.53-3.92, 4 Sm 3.79, 4 La 3.92
Pr 0.7680 0.1769 0.5359  1 La 3.51, 7 Pr 3.53-3.70, 3 Sm 3.66-3.75
Sm 0.6782 0.4707 0.3564  6 Sm 3.53-3.94, 5 Pr 3.66-3.75, 2 La 3.81
Sm 0.0471 0.3632 0.0941  2 La 3.36-3.39, 1 Pr 3.38, 5 Sm 3.53-3.71
Sm 0.3218 0.5293 0.6436  6 Sm 3.53-3.94, 5 Pr 3.66-3.75, 2 La 3.81
Sm 0.9529 0.6368 0.9059  2 La 3.36-3.39, 1 Pr 3.38, 5 Sm 3.53-3.71


No. 4
Compound: Ti2Pd2Pt
Source: Alexandria via LeMat-Bulk
Functional: PBE
Structure: optimized geometry

Computed properties:
As for the formation energy from the elements: -0.418 eV/atom. The energy above the most stable polymorph in this dataset comes out at 208 meV per atom. The crystal system is tetragonal. Its symmetry is P4/mbm (127).

a = 7.4210 Å, b = 7.4210 Å, c = 2.9486 Å
α = 90.00°, β = 90.00°, γ = 90.00°
Last column: nearest neighbours and their distance in Å.
Positions (direct):
Pd 0.1325 0.6325 0.5000  6 Ti 2.59-2.66, 1 Pd 2.78
Pd 0.6325 0.8675 0.5000  6 Ti 2.59-2.66, 1 Pd 2.78
Pd 0.8675 0.3675 0.5000  6 Ti 2.59-2.66, 1 Pd 2.78
Pd 0.3675 0.1325 0.5000  6 Ti 2.59-2.66, 1 Pd 2.78
Pt 0.0000 0.0000 0.0000  4 Ti 2.77, 2 Pt 2.95
Pt 0.5000 0.5000 0.0000  4 Ti 2.77, 2 Pt 2.95
Ti 0.3356 0.8356 0.0000  6 Pd 2.59-2.66, 2 Pt 2.77
Ti 0.8356 0.6644 0.0000  6 Pd 2.59-2.66, 2 Pt 2.77
Ti 0.6644 0.1644 0.0000  6 Pd 2.59-2.66, 2 Pt 2.77
Ti 0.1644 0.3356 0.0000  6 Pd 2.59-2.66, 2 Pt 2.77